The following is a DFT calculation (PBE) of a geometry-optimized CaTc4Os structure.

Cell: 5.193 5.193 5.193 Å, 60.00 60.00 60.00°
Element x y z (fractional)
Ca: 0.000 0.000 0.000
Tc: 0.374 0.374 0.374
Tc: 0.374 0.374 0.877
Tc: 0.374 0.877 0.374
Tc: 0.877 0.374 0.374
Os: 0.750 0.750 0.750

Calculated values
ρ   10.44 g cm⁻³
V   16.50 Å³ per atom
Calculated total energy   -52.04 eV/cell
Spin magnetization   0.000 μB per cell
Energy of formation from the pure elements   0.442 eV per atom
Crystal system   cubic